1.
# KBa2Eu PBE relaxed
# * raw total energy: -3.691 eV/atom
# * N(E_F): 41.46 states/eV per cell
# * V: 243.57 Å³/f.u.
data_KBa2Eu
_symmetry_space_group_name_H-M 'R -3 m'
_symmetry_Int_Tables_number 166
_symmetry_space_group_name_Hall '-R 3 2"'
_cell_length_a 4.3027
_cell_length_b 4.3027
_cell_length_c 45.5752
_cell_angle_alpha 90.00
_cell_angle_beta 90.00
_cell_angle_gamma 120.00
loop_
_atom_site_label
_atom_site_fract_x
_atom_site_fract_y
_atom_site_fract_z
K1 0.0000 0.0000 0.0000
Ba1 0.0000 0.0000 0.0926
Eu1 0.0000 0.0000 0.5000

=====

2.
# AcLa2Pm4Dy PBE relaxed
# * raw total energy: -4.328 eV/atom
# * N(E_F): 73.01 states/eV per cell
# * V: 291.16 Å³/f.u.
data_AcLa2Pm4Dy
_symmetry_space_group_name_H-M 'C 1 2/c 1'
_symmetry_Int_Tables_number 15
_cell_length_a 13.961
_cell_length_b 13.677
_cell_length_c 7.039
_cell_angle_alpha 90.00
_cell_angle_beta 119.95
_cell_angle_gamma 90.00
loop_
_symmetry_equiv_pos_as_xyz
'x,y,z'
'-x,-y,-z'
'-x,y,-z+1/2'
'x,-y,z+1/2'
'x+1/2,y+1/2,z'
'-x+1/2,-y+1/2,-z'
'-x+1/2,y+1/2,-z+1/2'
'x+1/2,-y+1/2,z+1/2'
loop_
_atom_site_label
_atom_site_fract_x
_atom_site_fract_y
_atom_site_fract_z
Ac1 0.250 0.250 0.000
La1 0.000 0.000 0.000
La2 0.250 0.250 0.500
Pm1 0.001 0.256 0.486
Pm2 0.245 0.491 0.472
Dy1 0.000 0.500 0.000

=====

> The highest N(E_F) belongs to which entry?

AcLa2Pm4Dy

=====

> What is the formula in the first record?

KBa2Eu